# GaRh2Au (PBE-GGA, optimized geometry)
data_GaRh2Au
_chemical_formula_sum 'Ga3 Rh6 Au3'
_symmetry_space_group_name_H-M 'R 3 m'
_symmetry_Int_Tables_number 160
_symmetry_space_group_name_Hall 'R 3 -2"'
_cell_length_a 4.2787
_cell_length_b 4.2787
_cell_length_c 12.4041
_cell_angle_alpha 90.00
_cell_angle_beta 90.00
_cell_angle_gamma 120.00
loop_
_atom_site_label
_atom_site_type_symbol
_atom_site_fract_x
_atom_site_fract_y
_atom_site_fract_z
Ga1 Ga 0.0000 0.0000 0.0000
Rh1 Rh 0.0000 0.0000 0.3523
Rh2 Rh 0.0000 0.0000 0.5696
Au1 Au 0.0000 0.0000 0.7933
# ρ = 11.97 g/cm3
# DFT formation energy = -0.0700 eV per atom
# E = -5.322 eV per atom